Density functional theory data (PBE with a Hubbard U) for a geometry-optimized AgW3O structure.

POSCAR file:
```
AgW3O
1.0
4.225 0.000 0.000
0.000 4.225 0.000
0.000 0.000 4.225
O W Ag
1 3 1
Cartesian
0.000 0.000 0.000
0.000 0.000 2.112
0.000 2.112 0.000
2.112 0.000 0.000
2.112 2.112 2.112
```

## Properties
Its symmetry is No. 221. The calculation puts the energy above the most stable polymorph in this dataset at 0.000 eV per atom. The electronic total energy is -5.07 eV per atom.